(1)
Below is an optimized crystal structure of TePt2, with properties calculated at the PBE level.

Results
The value obtained for the total DFT energy (no corrections) is -5.110 eV per atom. As for the crystal system: tetragonal. The space group is No. 140.

Geometry as POSCAR:
```
TePt2
1.0
-0.454 -3.758 -4.084
1.922 -4.112 3.226
-4.325 3.142 1.558
Te Pt
2 4
direct
0.750 0.750 0.000
0.250 0.250 0.000
0.179 0.679 0.857
0.821 0.321 0.143
0.679 0.821 0.500
0.321 0.179 0.500
```

=====

(2)
Below is an optimized crystal structure of Te3Pt4, with properties calculated at the PBE level.

Results
The value obtained for the total DFT energy (no corrections) is -4.925 eV per atom. As for the crystal system: tetragonal. The space group is No. 139.

Geometry as POSCAR:
```
Te3Pt4
1.0
-10.394 2.222 4.724
-11.625 -0.180 0.360
11.082 -3.277 -1.321
Te Pt
3 4
direct
0.000 0.000 0.000
0.677 0.677 0.000
0.323 0.323 0.000
0.870 0.870 0.000
0.130 0.130 0.000
0.562 0.562 0.000
0.438 0.438 0.000
```

=====

(3)
Below is an optimized crystal structure of TePt5, with properties calculated at the PBE level.

Results
The value obtained for the total DFT energy (no corrections) is -5.360 eV per atom. As for the crystal system: hexagonal. The space group is No. 191.

Geometry as POSCAR:
```
TePt5
1.0
2.660 -4.607 0.000
2.660 4.607 0.000
0.000 0.000 4.538
Te Pt
1 5
direct
0.000 0.000 0.000
0.333 0.667 0.000
0.667 0.333 0.000
0.500 0.000 0.500
0.000 0.500 0.500
0.500 0.500 0.500
```

=====

(4)
Below is an optimized crystal structure of TePt5, with properties calculated at the PBE level.

Results
The value obtained for the total DFT energy (no corrections) is -5.522 eV per atom. As for the crystal system: orthorhombic. The space group is No. 65.

Geometry as POSCAR:
```
TePt5
1.0
-0.693 6.176 2.108
-2.579 -6.034 -0.105
2.103 -0.960 3.505
Te Pt
1 5
direct
0.500 0.500 0.000
0.327 0.673 0.500
0.165 0.835 0.000
0.000 0.000 0.500
0.835 0.165 0.000
0.673 0.327 0.500
```

=====

(5)
Below is an optimized crystal structure of TePt2, with properties calculated at the PBE level.

Results
The value obtained for the total DFT energy (no corrections) is -4.847 eV per atom. As for the crystal system: cubic. The space group is No. 227.

Geometry as POSCAR:
```
TePt2
1.0
0.000 3.859 3.859
3.859 0.000 3.859
3.859 3.859 0.000
Te Pt
2 4
direct
0.500 0.500 0.500
0.750 0.750 0.750
0.625 0.125 0.125
0.125 0.625 0.125
0.125 0.125 0.625
0.125 0.125 0.125
```

=====

(6)
Below is an optimized crystal structure of TePt2, with properties calculated at the PBE level.

Results
The value obtained for the total DFT energy (no corrections) is -5.037 eV per atom. As for the crystal system: tetragonal. The space group is No. 141.

Geometry as POSCAR:
```
TePt2
1.0
15.862 0.035 0.000
14.920 5.385 0.000
-15.391 -2.710 2.716
Te Pt
4 8
direct
0.929 0.929 0.000
0.071 0.071 0.000
0.179 0.679 0.500
0.321 0.821 0.500
0.762 0.762 0.000
0.238 0.238 0.000
0.012 0.512 0.500
0.488 0.988 0.500
0.592 0.592 0.000
0.408 0.408 0.000
0.842 0.342 0.500
0.658 0.158 0.500
```

=====

Number 1: raw formation energy -0.036 eV/atom. Number 2: raw formation energy -0.126 eV/atom. Number 3: raw formation energy 0.198 eV/atom. Number 4: raw formation energy 0.036 eV/atom. Number 5: raw formation energy 0.228 eV/atom. Number 6: raw formation energy 0.037 eV/atom.